Ce6H2Pb3 | PBE | optimized geometry

extended XYZ file:
```
11
Lattice="-2.373 2.373 13.238 2.373 -2.373 13.238 2.373 2.373 -13.238" Properties=species:S:1:pos:R:3 pbc="T T T"
Ce 2.373 0.000 2.246
Ce 0.000 0.000 5.284
Ce 2.373 0.000 10.993
Ce 0.000 2.373 2.246
Ce 0.000 0.000 21.192
Ce 0.000 2.373 10.993
H 0.000 0.000 2.832
H 0.000 0.000 23.644
Pb 0.000 0.000 8.585
Pb 0.000 0.000 13.238
Pb 0.000 0.000 17.891
```

Output
Energy ... -56.83 eV per cell
Calculated density ... 8.2 Mg/m³
Space group ... I4/mmm, No. 139